No. 1
Entry from the Open Quantum Materials Database: a geometry-optimized ZnCuReMo structure (PBE).

Cell: 4.326 4.326 4.326 Å, 60.00 60.00 60.00°
Sites, in units of the cell vectors:
Mo 0.500 0.500 0.500
Zn 0.000 0.000 0.000
Re 0.250 0.250 0.250
Cu 0.750 0.750 0.750

ΔH_f (0 K): 275 meV/atom
SG: F-43m (216)
Distance to the lowest polymorph of the same formula: 0 meV per atom



No. 2
Entry from the Open Quantum Materials Database: a geometry-optimized TbSbPO structure (PBE).

Cell: 5.458 5.458 5.215 Å, 90.00 90.00 90.00°
Sites, in units of the cell vectors:
Sb 0.250 0.250 0.005
Tb 0.750 0.250 0.500
P 0.250 0.250 0.509
P 0.750 0.750 0.491
O 0.750 0.250 0.000
Tb 0.250 0.750 0.500
O 0.250 0.750 0.000
Sb 0.750 0.750 0.995

SG: P4/nmm (129)
Distance to the lowest polymorph of the same formula: 342 meV per atom



No. 3
Entry from the Open Quantum Materials Database: a geometry-optimized AgOsO3 structure (PBE).

Cell: 5.379 5.379 5.379 Å, 61.03 61.03 61.03°
Sites, in units of the cell vectors:
O 0.750 0.332 0.168
O 0.332 0.168 0.750
Os 0.500 0.500 0.500
O 0.832 0.250 0.668
O 0.250 0.668 0.832
Os 0.000 0.000 0.000
Ag 0.250 0.250 0.250
O 0.168 0.750 0.332
O 0.668 0.832 0.250
Ag 0.750 0.750 0.750

DFT total energy: -63.2 eV/cell
SG: R-3c (167)